<a>
First-principles (SCAN) data for Sb2AsP at its PBEsol-relaxed geometry, as listed in Alexandria.

Output
Symmetry ... No. 166

The structure in POSCAR format:
```
Sb2AsP
1.0
3.9757 0.0000 0.0000
1.9878 3.4430 0.0000
1.9878 1.1477 6.6375
Sb As P
2 1 1
direct
0.7532 0.7532 0.7405
0.2468 0.2468 0.2595
0.0000 0.0000 0.0000
0.5000 0.5000 0.5000
```



<b>
First-principles (SCAN) data for Sb2AsP at its PBEsol-relaxed geometry, as listed in Alexandria.

Output
Symmetry ... No. 65

The structure in POSCAR format:
```
Sb2AsP
1.0
-0.6875 3.0426 0.6305
-2.6643 -1.7268 -0.2174
0.4057 -1.7372 8.8262
Sb As P
2 1 1
direct
0.0000 0.0000 0.2342
0.0000 0.0000 0.7658
0.5000 0.5000 0.5000
0.5000 0.5000 0.0000
```



Relative stability in eV/atom, measured from the most stable structure: <a> 0.000; <b> 0.439



<a>
First-principles (SCAN) data for AsPSe2 at its PBEsol-relaxed geometry, as listed in Alexandria.

Output
Symmetry ... No. 99

The structure in POSCAR format:
```
AsPSe2
1.0
3.4920 0.0000 0.0000
0.0000 3.4920 0.0000
0.0000 0.0000 7.4716
P As Se
1 1 2
direct
0.5000 0.5000 0.5796
0.0000 0.0000 0.6614
0.0000 0.0000 0.9674
0.5000 0.5000 0.2916
```



<b>
First-principles (SCAN) data for AsPSe2 at its PBEsol-relaxed geometry, as listed in Alexandria.

Output
Symmetry ... No. 225

The structure in POSCAR format:
```
AsPSe2
1.0
4.6544 0.0000 0.0000
2.3272 4.0308 0.0000
2.3272 1.3436 3.8003
P As Se
1 1 2
direct
0.5000 0.5000 0.5000
0.0000 0.0000 0.0000
0.2500 0.2500 0.2500
0.7500 0.7500 0.7500
```



<c>
First-principles (SCAN) data for AsPSe2 at its PBEsol-relaxed geometry, as listed in Alexandria.

Output
Symmetry ... No. 44

The structure in POSCAR format:
```
AsPSe2
1.0
-2.8351 1.8350 0.3827
-1.2850 -1.3861 -2.8728
-0.9782 -5.7591 5.2745
P As Se
1 1 2
direct
0.7969 0.2969 0.5938
0.4447 0.4447 0.8893
0.0161 0.0161 0.0322
0.2424 0.7424 0.4847
```



Relative stability in eV/atom, measured from the most stable structure: <a> 0.000; <b> 0.499; <c> 0.094



<a>
First-principles (SCAN) data for SiAsPSe2 at its PBEsol-relaxed geometry, as listed in Alexandria.

Output
Symmetry ... No. 123

The structure in POSCAR format:
```
SiAsPSe2
1.0
-2.1509 -0.6986 4.0774
-3.7637 -1.5768 -2.2556
1.7430 -4.3980 0.1660
P As Si Se
1 1 1 2
direct
0.5000 0.5000 0.5000
0.0000 0.0000 0.5000
0.0000 0.0000 0.0000
0.0000 0.5000 0.0000
0.5000 0.0000 0.0000
```



<b>
First-principles (SCAN) data for SiAsPSe2 at its PBEsol-relaxed geometry, as listed in Alexandria.

Output
Symmetry ... No. 123

The structure in POSCAR format:
```
SiAsPSe2
1.0
4.4575 0.0000 0.0000
0.0000 4.7258 0.0000
0.0000 0.0000 4.7258
P As Si Se
1 1 1 2
direct
0.5000 0.0000 0.0000
0.5000 0.5000 0.5000
0.0000 0.0000 0.0000
0.0000 0.0000 0.5000
0.0000 0.5000 0.0000
```



Relative stability in eV/atom, measured from the most stable structure: <a> 0.169; <b> 0.000



<a>
First-principles (SCAN) data for TcAsP at its PBEsol-relaxed geometry, as listed in Alexandria.

Output
Symmetry ... No. 187

The structure in POSCAR format:
```
TcAsP
1.0
3.1034 0.0000 0.0000
0.0000 4.0876 0.0000
0.0000 -2.0438 3.5400
P As Tc
1 1 1
direct
0.0000 0.3333 0.6667
0.5000 0.0000 0.0000
0.0000 0.6667 0.3333
```



<b>
First-principles (SCAN) data for TcAsP at its PBEsol-relaxed geometry, as listed in Alexandria.

Output
Symmetry ... No. 216

The structure in POSCAR format:
```
TcAsP
1.0
-1.4659 -3.1789 -2.0897
2.5579 -2.5567 -1.8819
0.5119 -3.7859 1.4232
P As Tc
1 1 1
direct
0.2500 0.2500 0.2500
0.5000 0.5000 0.5000
0.0000 0.0000 0.0000
```



Relative stability in eV/atom, measured from the most stable structure: <a> 0.000; <b> 0.278



<a>
First-principles (SCAN) data for Tl2AsP at its PBEsol-relaxed geometry, as listed in Alexandria.

Output
Symmetry ... No. 47

The structure in POSCAR format:
```
Tl2AsP
1.0
3.1232 0.0000 0.0000
0.0000 4.6278 0.0000
0.0000 0.0000 6.2774
As P Tl
1 1 2
direct
0.5000 0.5000 0.0000
0.5000 0.5000 0.5000
0.0000 0.0000 0.7460
0.0000 0.0000 0.2540
```



<b>
First-principles (SCAN) data for Tl2AsP at its PBEsol-relaxed geometry, as listed in Alexandria.

Output
Symmetry ... No. 160

The structure in POSCAR format:
```
Tl2AsP
1.0
-0.8065 -2.7583 1.9159
2.3682 -2.4432 0.5926
3.2358 2.7359 8.4142
P Tl As
1 2 1
direct
0.2345 0.2345 0.2964
0.9894 0.9894 0.0317
0.7567 0.7567 0.7298
0.5193 0.5193 0.4421
```



Relative stability in eV/atom, measured from the most stable structure: <a> 0.445; <b> 0.000



<a>
First-principles (SCAN) data for Tl2AsP at its PBEsol-relaxed geometry, as listed in Alexandria.

Output
Symmetry ... No. 166

The structure in POSCAR format:
```
Tl2AsP
1.0
3.1754 0.0000 0.0000
1.5877 2.7499 0.0000
1.5877 0.9166 10.3501
As P Tl
1 1 2
direct
0.5000 0.5000 0.5000
0.0000 0.0000 0.0000
0.2530 0.2530 0.2409
0.7470 0.7470 0.7591
```



<b>
First-principles (SCAN) data for Tl2AsP at its PBEsol-relaxed geometry, as listed in Alexandria.

Output
Symmetry ... No. 122

The structure in POSCAR format:
```
Tl2AsP
1.0
-0.5717 5.8857 1.5372
-6.0476 -0.7166 0.4946
3.9656 -4.0582 4.8704
P Tl As
2 4 2
direct
0.7500 0.2500 0.5000
0.5000 0.5000 0.0000
0.3867 0.8750 0.2500
0.8633 0.3750 0.2500
0.1250 0.1367 0.7500
0.6250 0.6133 0.7500
0.2500 0.7500 0.5000
0.0000 0.0000 0.0000
```



Relative stability in eV/atom, measured from the most stable structure: <a> 0.455; <b> 0.000